Record 1
Material: FeSi2Ni
Method: DFT, meta-GGA SCAN
State: single point on PBEsol structure

Lattice parameters (Å, degrees): 4.487 4.487 4.487 136.18 136.18 63.71
Positions (direct):
Fe  0.000  0.000  0.000
Si  0.500  0.500  0.000
Si  0.750  0.250  0.500
Ni  0.250  0.750  0.500

Results
* DFT total energy: -13.83 eV/atom
* DOS(E_F): 0.58 states/eV per atom
* symmetry: I-4m2, No. 119
* formation energy without anion corrections: -247 meV per atom

=====

Record 2
Material: FeSiNi
Method: DFT, meta-GGA SCAN
State: single point on PBEsol structure

Lattice parameters (Å, degrees): 2.573 2.573 5.717 90.00 90.00 120.00
Positions (direct):
Fe  0.000  0.000  0.000
Si  0.667  0.333  0.330
Ni  0.333  0.667  0.650

Results
* DFT total energy: -14.90 eV/atom
* DOS(E_F): 0.64 states/eV per atom
* symmetry: P3m1, No. 156
* formation energy without anion corrections: -125 meV per atom

=====

Record 3
Material: FeSi2Ni
Method: DFT, meta-GGA SCAN
State: single point on PBEsol structure

Lattice parameters (Å, degrees): 4.305 4.305 3.918 104.23 104.23 37.89
Positions (direct):
Fe  0.000  0.000  0.000
Si  0.491  0.491  0.485
Si  0.734  0.734  0.112
Ni  0.230  0.230  0.611

Results
* DFT total energy: -14.00 eV/atom
* DOS(E_F): 0.31 states/eV per atom
* symmetry: Cm, No. 8
* formation energy without anion corrections: -418 meV per atom

=====

Record 4
Material: Fe6SiNi
Method: DFT, meta-GGA SCAN
State: single point on PBEsol structure

Lattice parameters (Å, degrees): 6.054 6.054 9.902 90.00 90.00 109.74
Positions (direct):
Fe  0.000  0.000  0.000
Fe  0.000  0.000  0.500
Fe  0.125  0.375  0.374
Fe  0.125  0.375  0.626
Fe  0.126  0.377  0.124
Fe  0.126  0.377  0.876
Fe  0.249  0.751  0.249
Fe  0.249  0.751  0.751
Fe  0.375  0.125  0.374
Fe  0.375  0.125  0.626
Fe  0.377  0.126  0.124
Fe  0.377  0.126  0.876
Fe  0.500  0.500  0.000
Fe  0.500  0.500  0.500
Fe  0.623  0.874  0.124
Fe  0.623  0.874  0.876
Fe  0.625  0.875  0.374
Fe  0.625  0.875  0.626
Fe  0.751  0.249  0.249
Fe  0.751  0.249  0.751
Fe  0.874  0.623  0.124
Fe  0.874  0.623  0.876
Fe  0.875  0.625  0.374
Fe  0.875  0.625  0.626
Si  0.248  0.752  0.500
Si  0.500  0.500  0.248
Si  0.500  0.500  0.752
Si  0.752  0.248  0.500
Ni  0.000  0.000  0.248
Ni  0.000  0.000  0.752
Ni  0.247  0.753  0.000
Ni  0.753  0.247  0.000

Results
* DFT total energy: -17.01 eV/atom
* DOS(E_F): 0.68 states/eV per atom
* symmetry: Cmmm, No. 65
* formation energy without anion corrections: -142 meV per atom

=====

Record 5
Material: FeSiNi
Method: DFT, meta-GGA SCAN
State: single point on PBEsol structure

Lattice parameters (Å, degrees): 3.755 3.755 3.755 60.00 60.00 60.00
Positions (direct):
Fe  0.000  0.000  0.000
Si  0.250  0.250  0.250
Ni  0.750  0.750  0.750

Results
* DFT total energy: -14.73 eV/atom
* DOS(E_F): 0.71 states/eV per atom
* symmetry: F-43m, No. 216
* formation energy without anion corrections: 45 meV per atom

=====

Record 6
Material: FeSiNi
Method: DFT, meta-GGA SCAN
State: single point on PBEsol structure

Lattice parameters (Å, degrees): 4.876 3.889 6.746 90.00 90.00 90.00
Positions (direct):
Fe  0.000  0.250  0.250
Fe  0.000  0.750  0.750
Fe  0.500  0.250  0.250
Fe  0.500  0.750  0.750
Si  0.250  0.250  0.584
Si  0.250  0.750  0.084
Si  0.750  0.250  0.916
Si  0.750  0.750  0.416
Ni  0.249  0.250  0.917
Ni  0.251  0.750  0.417
Ni  0.749  0.250  0.583
Ni  0.751  0.750  0.083

Results
* DFT total energy: -15.17 eV/atom
* DOS(E_F): 0.50 states/eV per atom
* symmetry: Pnma, No. 62
* formation energy without anion corrections: -398 meV per atom

=====

Record 7
Material: FeSi2Ni
Method: DFT, meta-GGA SCAN
State: single point on PBEsol structure

Lattice parameters (Å, degrees): 3.913 3.913 2.766 90.00 90.00 90.00
Positions (direct):
Fe  0.000  0.000  0.000
Si  0.000  0.500  0.500
Si  0.500  0.000  0.500
Ni  0.500  0.500  0.000

Results
* DFT total energy: -13.94 eV/atom
* DOS(E_F): 0.33 states/eV per atom
* symmetry: P4/mmm, No. 123
* formation energy without anion corrections: -360 meV per atom

=====

Record 8
Material: FeSiNi
Method: DFT, meta-GGA SCAN
State: single point on PBEsol structure

Lattice parameters (Å, degrees): 4.702 4.702 4.702 146.48 146.48 48.14
Positions (direct):
Fe  0.000  0.000  0.000
Si  0.654  0.654  0.000
Ni  0.310  0.310  0.000

Results
* DFT total energy: -15.01 eV/atom
* DOS(E_F): 0.66 states/eV per atom
* symmetry: I4mm, No. 107
* formation energy without anion corrections: -238 meV per atom

=====

- DFT total energy of number 6 (FeSiNi)?
  -15.17 eV/atom